(1)
# Ho3TmSc6

An optimized crystal structure of Ho3TmSc6 (PBE-GGA, the Alexandria database).

Cell: 10.381 10.381 5.821 Å, 90.00 90.00 119.54°
Element x y z (fractional)
Ho  0.105  0.895  0.500
Ho  0.221  0.432  0.907
Ho  0.432  0.221  0.407
Ho  0.568  0.779  0.907
Ho  0.779  0.568  0.407
Ho  0.895  0.105  0.000
Tm  0.289  0.711  0.594
Tm  0.711  0.289  0.094
Sc  0.040  0.467  0.303
Sc  0.114  0.217  0.461
Sc  0.215  0.785  0.077
Sc  0.217  0.114  0.961
Sc  0.452  0.548  0.373
Sc  0.467  0.040  0.803
Sc  0.533  0.960  0.303
Sc  0.548  0.452  0.873
Sc  0.783  0.886  0.461
Sc  0.785  0.215  0.577
Sc  0.886  0.783  0.961
Sc  0.960  0.533  0.803

ΔE to the lowest computed polymorph   0 meV per atom
Theoretical density   5.68 g/cm3
SG   Cmc2_1 (36)
Electronic total energy   -5.463 eV per atom
Formation energy from the elements   0.16 eV per atom

(2)
# HoTm12Sc7

An optimized crystal structure of HoTm12Sc7 (PBE-GGA, the Alexandria database).

Cell: 9.365 9.365 9.365 Å, 109.47 109.47 109.47°
Element x y z (fractional)
Ho  0.000  0.000  0.000
Tm  0.000  0.258  0.742
Tm  0.000  0.742  0.258
Tm  0.258  0.000  0.742
Tm  0.258  0.258  0.515
Tm  0.258  0.515  0.258
Tm  0.258  0.742  0.000
Tm  0.485  0.742  0.742
Tm  0.515  0.258  0.258
Tm  0.742  0.000  0.258
Tm  0.742  0.258  0.000
Tm  0.742  0.485  0.742
Tm  0.742  0.742  0.485
Sc  0.000  0.000  0.500
Sc  0.000  0.500  0.000
Sc  0.000  0.500  0.500
Sc  0.500  0.000  0.000
Sc  0.500  0.000  0.500
Sc  0.500  0.500  0.000
Sc  0.500  0.500  0.500

ΔE to the lowest computed polymorph   528 meV per atom
Theoretical density   6.58 g/cm3
SG   Im-3m (229)
Electronic total energy   -4.425 eV per atom
Formation energy from the elements   0.70 eV per atom

(3)
# Ho3TmSc6

An optimized crystal structure of Ho3TmSc6 (PBE-GGA, the Alexandria database).

Cell: 6.517 6.517 6.517 Å, 89.90 89.90 89.90°
Element x y z (fractional)
Ho  0.000  0.000  0.000
Ho  0.248  0.248  0.248
Ho  0.748  0.748  0.748
Tm  0.500  0.500  0.500
Sc  0.079  0.741  0.410
Sc  0.243  0.578  0.909
Sc  0.410  0.079  0.741
Sc  0.578  0.909  0.243
Sc  0.741  0.410  0.079
Sc  0.909  0.243  0.578

ΔE to the lowest computed polymorph   244 meV per atom
Theoretical density   5.60 g/cm3
SG   R3 (146)
Electronic total energy   -5.219 eV per atom
Formation energy from the elements   0.40 eV per atom

(4)
# HoTm5Sc2

An optimized crystal structure of HoTm5Sc2 (PBE-GGA, the Alexandria database).

Cell: 6.871 13.746 4.849 Å, 90.00 90.00 90.00°
Element x y z (fractional)
Ho  0.000  0.000  0.000
Ho  0.500  0.500  0.000
Tm  0.000  0.500  0.000
Tm  0.002  0.250  0.000
Tm  0.249  0.625  0.500
Tm  0.251  0.125  0.500
Tm  0.498  0.750  0.000
Tm  0.500  0.000  0.000
Tm  0.502  0.250  0.000
Tm  0.749  0.875  0.500
Tm  0.751  0.375  0.500
Tm  0.998  0.750  0.000
Sc  0.249  0.875  0.500
Sc  0.251  0.375  0.500
Sc  0.749  0.625  0.500
Sc  0.751  0.125  0.500

ΔE to the lowest computed polymorph   29 meV per atom
Theoretical density   7.97 g/cm3
SG   Pbam (55)
Electronic total energy   -4.906 eV per atom
Formation energy from the elements   0.04 eV per atom

(5)
# HoTm5Sc2

An optimized crystal structure of HoTm5Sc2 (PBE-GGA, the Alexandria database).

Cell: 8.149 7.008 6.477 Å, 74.24 55.86 49.90°
Element x y z (fractional)
Ho  0.000  0.000  0.000
Tm  0.416  0.416  0.084
Tm  0.497  0.997  0.503
Tm  0.500  0.500  0.500
Tm  0.916  0.916  0.584
Tm  0.997  0.497  0.003
Sc  0.415  0.914  0.086
Sc  0.914  0.415  0.585

ΔE to the lowest computed polymorph   0 meV per atom
Theoretical density   7.88 g/cm3
SG   Fmm2 (42)
Electronic total energy   -4.935 eV per atom
Formation energy from the elements   0.02 eV per atom

(6)
# Ho10TmSc4

An optimized crystal structure of Ho10TmSc4 (PBE-GGA, the Alexandria database).

Cell: 8.645 8.645 8.645 Å, 105.98 105.98 116.71°
Element x y z (fractional)
Ho  0.028  0.696  0.088
Ho  0.061  0.972  0.668
Ho  0.250  0.750  0.500
Ho  0.304  0.393  0.332
Ho  0.393  0.061  0.088
Ho  0.607  0.939  0.912
Ho  0.696  0.607  0.668
Ho  0.750  0.250  0.500
Ho  0.939  0.028  0.332
Ho  0.972  0.304  0.912
Tm  0.000  0.000  0.000
Sc  0.265  0.463  0.728
Sc  0.463  0.735  0.197
Sc  0.537  0.265  0.803
Sc  0.735  0.537  0.272

Theoretical density   6.75 g/cm3
SG   I4/m (87)
Electronic total energy   -4.471 eV per atom
Formation energy from the elements   0.57 eV per atom

(7)
# HoTm2Sc2

An optimized crystal structure of HoTm2Sc2 (PBE-GGA, the Alexandria database).

Cell: 8.972 8.972 3.518 Å, 90.00 90.00 90.00°
Element x y z (fractional)
Ho  0.000  0.000  0.000
Ho  0.500  0.500  0.000
Tm  0.175  0.325  0.500
Tm  0.325  0.825  0.500
Tm  0.675  0.175  0.500
Tm  0.825  0.675  0.500
Sc  0.121  0.621  0.000
Sc  0.379  0.121  0.000
Sc  0.621  0.879  0.000
Sc  0.879  0.379  0.000

ΔE to the lowest computed polymorph   33 meV per atom
Theoretical density   6.95 g/cm3
SG   P4/mbm (127)
Electronic total energy   -5.163 eV per atom
Formation energy from the elements   0.07 eV per atom

(8)
# HoTm2Sc3

An optimized crystal structure of HoTm2Sc3 (PBE-GGA, the Alexandria database).

Cell: 5.915 3.413 16.415 Å, 90.00 96.91 90.00°
Element x y z (fractional)
Ho  0.028  0.250  0.333
Ho  0.972  0.750  0.667
Tm  0.250  0.250  0.000
Tm  0.473  0.250  0.667
Tm  0.527  0.750  0.333
Tm  0.750  0.750  0.000
Sc  0.139  0.750  0.167
Sc  0.251  0.750  0.500
Sc  0.361  0.750  0.833
Sc  0.639  0.250  0.167
Sc  0.749  0.250  0.500
Sc  0.861  0.250  0.833

ΔE to the lowest computed polymorph   0 meV per atom
Theoretical density   6.44 g/cm3
SG   P2_1/m (11)
Electronic total energy   -5.371 eV per atom
Formation energy from the elements   0.05 eV per atom

(9)
# Ho4Tm8Sc

An optimized crystal structure of Ho4Tm8Sc (PBE-GGA, the Alexandria database).

Cell: 9.451 9.451 9.451 Å, 45.81 45.81 45.81°
Element x y z (fractional)
Ho  0.000  0.000  0.000
Ho  0.000  0.500  0.500
Ho  0.500  0.000  0.500
Ho  0.500  0.500  0.000
Tm  0.183  0.746  0.746
Tm  0.221  0.221  0.221
Tm  0.254  0.254  0.817
Tm  0.254  0.817  0.254
Tm  0.746  0.183  0.746
Tm  0.746  0.746  0.183
Tm  0.779  0.779  0.779
Tm  0.817  0.254  0.254
Sc  0.500  0.500  0.500

Theoretical density   8.63 g/cm3
SG   R-3m (166)
Electronic total energy   -4.444 eV per atom
Formation energy from the elements   0.20 eV per atom

(10)
# HoTm6Sc2

An optimized crystal structure of HoTm6Sc2 (PBE-GGA, the Alexandria database).

Cell: 3.489 3.489 25.105 Å, 90.00 90.00 120.00°
Element x y z (fractional)
Ho  0.000  0.000  0.000
Tm  0.000  0.000  0.224
Tm  0.000  0.000  0.433
Tm  0.000  0.000  0.567
Tm  0.000  0.000  0.776
Tm  0.333  0.667  0.112
Tm  0.333  0.667  0.888
Sc  0.333  0.667  0.329
Sc  0.333  0.667  0.671

ΔE to the lowest computed polymorph   0 meV per atom
Theoretical density   7.96 g/cm3
SG   P-6m2 (187)
Electronic total energy   -4.847 eV per atom
Formation energy from the elements   0.05 eV per atom

(11)
# Ho2Tm3Sc4

An optimized crystal structure of Ho2Tm3Sc4 (PBE-GGA, the Alexandria database).

Cell: 9.566 9.566 5.828 Å, 94.61 94.61 70.06°
Element x y z (fractional)
Ho  0.016  0.729  0.682
Ho  0.271  0.984  0.818
Ho  0.729  0.016  0.182
Ho  0.984  0.271  0.318
Tm  0.100  0.900  0.250
Tm  0.244  0.431  0.386
Tm  0.431  0.244  0.886
Tm  0.569  0.756  0.114
Tm  0.756  0.569  0.614
Tm  0.900  0.100  0.750
Sc  0.075  0.363  0.845
Sc  0.318  0.599  0.981
Sc  0.363  0.075  0.345
Sc  0.401  0.682  0.519
Sc  0.599  0.318  0.481
Sc  0.637  0.925  0.655
Sc  0.682  0.401  0.019
Sc  0.925  0.637  0.155

Theoretical density   6.77 g/cm3
SG   C2/c (15)
Electronic total energy   -5.210 eV per atom
Formation energy from the elements   0.11 eV per atom

(12)
# Ho7TmSc12

An optimized crystal structure of Ho7TmSc12 (PBE-GGA, the Alexandria database).

Cell: 8.254 8.254 8.254 Å, 87.34 87.34 87.34°
Element x y z (fractional)
Ho  0.000  0.000  0.000
Ho  0.105  0.340  0.441
Ho  0.340  0.441  0.105
Ho  0.441  0.105  0.340
Ho  0.559  0.895  0.660
Ho  0.660  0.559  0.895
Ho  0.895  0.660  0.559
Tm  0.500  0.500  0.500
Sc  0.006  0.369  0.876
Sc  0.124  0.994  0.631
Sc  0.226  0.772  0.351
Sc  0.228  0.649  0.774
Sc  0.351  0.226  0.772
Sc  0.369  0.876  0.006
Sc  0.631  0.124  0.994
Sc  0.649  0.774  0.228
Sc  0.772  0.351  0.226
Sc  0.774  0.228  0.649
Sc  0.876  0.006  0.369
Sc  0.994  0.631  0.124

Theoretical density   5.52 g/cm3
SG   R-3 (148)
Electronic total energy   -5.400 eV per atom
Formation energy from the elements   0.22 eV per atom

Question: Among the records above, which one has the highest formation energy from the elements?
Answer: HoTm12Sc7